Entry from Alexandria: a relaxed structure of In2IrW (PBE-GGA).

Calculated values
For the total energy, the calculation gives -6.383 eV/atom. The calculation puts the size of the total moment at 0.00 Bohr magnetons per cell. The energy above the most stable polymorph in this dataset is 370 meV/atom.

Cell: 9.4246 2.9697 5.2537 Å, 90.00 101.73 90.00°
Last column: nearest neighbours and their distance in Å.
Space group C2/m (No. 12)
Asymmetric unit:
In (0.2460, 0.0000, 0.2456) x4  3 Ir 2.83-2.94, 3 W 2.90, 6 In 2.97-3.05
Ir (0.0000, 0.5000, 0.0000) x2  6 In 2.83-2.94, 2 Ir 2.97, 4 W 3.02
W (0.0000, 0.0000, 0.5000) x2  6 In 2.90, 2 W 2.97, 4 Ir 3.02